Record 1
DFT (SCAN) results for a crystal of CsLiMoRu2 relaxed with PBEsol.

Unit cell a=4.3733 b=4.3733 c=4.5449 alpha=90.00 beta=90.00 gamma=90.00
Each line ends with the local moment (μB).
Element x y z (fractional)
1 Ru 0.5000 0.0000 0.0000  -1.00
2 Mo 0.5000 0.5000 0.5000  3.09
3 Cs 0.0000 0.0000 0.5000  0.05
4 Ru 0.0000 0.5000 0.0000  -1.00
5 Li 0.0000 0.0000 0.0000  0.03

Output
* DFT total energy: -26.779 eV/atom
* volume: 86.9 Å³/cell
* energy relative to the elements: 2.169 eV/atom
* D(E_F): 4.6 states/eV/f.u.


Record 2
DFT (SCAN) results for a crystal of Sc2Co3Si relaxed with PBEsol.

Unit cell a=4.9499 b=4.9499 c=7.3812 alpha=90.00 beta=90.00 gamma=120.00
Element x y z (fractional)
1 Sc 0.3333 0.6667 0.9382
2 Sc 0.6667 0.3333 0.4382
3 Si 0.0000 0.0000 0.0000
4 Co 0.8287 0.6575 0.7500
5 Co 0.1713 0.3425 0.2500
6 Co 0.6575 0.8287 0.2500
7 Si 0.0000 0.0000 0.5000
8 Co 0.3425 0.1713 0.7500
9 Sc 0.6667 0.3333 0.0618
10 Co 0.1713 0.8287 0.2500
11 Sc 0.3333 0.6667 0.5618
12 Co 0.8287 0.1713 0.7500

Output
* DFT total energy: -15.586 eV/atom
* volume: 156.6 Å³/cell
* E_form (uncorrected): -300 kJ/mol of formula units
* D(E_F): 4.1 states/eV/f.u.


Record 3
DFT (SCAN) results for a crystal of Rb3ScF6 relaxed with PBEsol.

Unit cell a=6.5256 b=6.5256 c=6.5256 alpha=60.00 beta=60.00 gamma=60.00
Element x y z (fractional)
1 F 0.7821 0.7821 0.2179
2 F 0.2179 0.7821 0.2179
3 Rb 0.2500 0.2500 0.2500
4 F 0.7821 0.2179 0.2179
5 Rb 0.5000 0.5000 0.5000
6 F 0.2179 0.7821 0.7821
7 Sc 0.0000 0.0000 0.0000
8 F 0.2179 0.2179 0.7821
9 F 0.7821 0.2179 0.7821
10 Rb 0.7500 0.7500 0.7500

Output
* DFT total energy: -13.245 eV/atom
* volume: 196.5 Å³/cell
* E_form (uncorrected): -3354 kJ/mol of formula units
* D(E_F): 0.0 states/eV/f.u.


Record 4
DFT (SCAN) results for a crystal of In2AuCl relaxed with PBEsol.

Unit cell a=3.5039 b=4.5967 c=5.6371 alpha=90.00 beta=90.00 gamma=90.00
Element x y z (fractional)
1 In 0.5000 0.5000 0.0000
2 Cl 0.5000 0.5000 0.5000
3 In 0.0000 0.0000 0.5000
4 Au 0.0000 0.0000 0.0000

Output
* DFT total energy: -36.501 eV/atom
* volume: 90.8 Å³/cell
* E_form (uncorrected): -202 kJ/mol of formula units
* energy relative to the lowest polymorph listed for this composition: 0.0 meV per atom
* D(E_F): 0.9 states/eV/f.u.


Record 5
DFT (SCAN) results for a crystal of NiIrRh relaxed with PBEsol.

Unit cell a=2.6539 b=2.6539 c=6.3028 alpha=90.00 beta=90.00 gamma=120.00
Each line ends with the local moment (μB).
Element x y z (fractional)
1 Ni 0.3333 0.6667 0.6674  0.89
2 Rh 0.6667 0.3333 0.3409  0.01
3 Ir 0.0000 0.0000 0.9916  -0.02

Output
* DFT total energy: -40.338 eV/atom
* volume: 38.4 Å³/cell
* energy relative to the elements: 0.010 eV/atom
* energy relative to the lowest polymorph listed for this composition: 6.5 meV per atom
* D(E_F): 2.5 states/eV/f.u.


Record 6
DFT (SCAN) results for a crystal of Y10Si6B relaxed with PBEsol.

Unit cell a=6.3039 b=8.4376 c=8.4376 alpha=120.00 beta=90.00 gamma=90.00
Element x y z (fractional)
1 Si 0.7477 0.0000 0.3956
2 Y 0.5000 0.6667 0.3333
3 Y 0.7358 0.0000 0.7558
4 Si 0.2523 0.3956 0.3956
5 Y 0.2642 0.2442 0.0000
6 Y 0.0000 0.6667 0.3333
7 Y 0.7358 0.7558 0.0000
8 Y 0.2642 0.0000 0.2442
9 Y 0.7358 0.2442 0.2442
10 B 0.5000 0.0000 0.0000
11 Si 0.7477 0.6044 0.6044
12 Y 0.5000 0.3333 0.6667
13 Y 0.2642 0.7558 0.7558
14 Si 0.7477 0.3956 0.0000
15 Si 0.2523 0.0000 0.6044
16 Y 0.0000 0.3333 0.6667
17 Si 0.2523 0.6044 0.0000

Output
* DFT total energy: -21.073 eV/atom
* volume: 388.7 Å³/cell
* E_form (uncorrected): -1186 kJ/mol of formula units
* D(E_F): 8.7 states/eV/f.u.


Record 7
DFT (SCAN) results for a crystal of Y2SbSe2 relaxed with PBEsol.

Unit cell a=4.1881 b=4.1881 c=7.8046 alpha=105.56 beta=105.56 gamma=90.00
Element x y z (fractional)
1 Se 0.7500 0.2500 0.5000
2 Se 0.2500 0.7500 0.5000
3 Y 0.3817 0.3817 0.7635
4 Sb 0.0000 0.0000 0.0000
5 Y 0.6183 0.6183 0.2365

Output
* DFT total energy: -27.856 eV/atom
* volume: 126.7 Å³/cell
* E_form (uncorrected): -596 kJ/mol of formula units
* D(E_F): 1.6 states/eV/f.u.


Record 8
DFT (SCAN) results for a crystal of Zn2Ag relaxed with PBEsol.

Unit cell a=2.7998 b=7.4678 c=7.4678 alpha=120.00 beta=90.00 gamma=90.00
Element x y z (fractional)
1 Ag 0.0000 0.6667 0.3333
2 Zn 0.0000 0.0000 0.3026
3 Zn 0.0000 0.3026 0.0000
4 Zn 0.5000 0.0000 0.6358
5 Ag 0.5000 0.0000 0.0000
6 Zn 0.5000 0.6358 0.0000
7 Ag 0.0000 0.3333 0.6667
8 Zn 0.0000 0.6974 0.6974
9 Zn 0.5000 0.3642 0.3642

Output
* DFT total energy: -19.440 eV/atom
* volume: 135.2 Å³/cell
* energy relative to the elements: 0.026 eV/atom
* D(E_F): 0.9 states/eV/f.u.


Record 9
DFT (SCAN) results for a crystal of Tl2ReCl relaxed with PBEsol.

Unit cell a=2.9690 b=4.7593 c=5.6512 alpha=90.00 beta=90.00 gamma=90.00
Each line ends with the local moment (μB).
Element x y z (fractional)
1 Tl 0.0000 0.0000 0.2512  0.01
2 Cl 0.5000 0.5000 0.0000  0.03
3 Tl 0.0000 0.0000 0.7488  0.01
4 Re 0.5000 0.5000 0.5000  -0.44

Output
* DFT total energy: -55.011 eV/atom
* volume: 79.9 Å³/cell
* E_form (uncorrected): 362 kJ/mol of formula units
* energy relative to the lowest polymorph listed for this composition: 68.8 meV per atom
* D(E_F): 1.7 states/eV/f.u.


Record 10
DFT (SCAN) results for a crystal of K2CuBiBr6 relaxed with PBEsol.

Unit cell a=7.6423 b=7.6423 c=7.6423 alpha=60.00 beta=60.00 gamma=60.00
Element x y z (fractional)
1 Br 0.2626 0.2626 0.7374
2 K 0.7500 0.7500 0.7500
3 Br 0.7374 0.2626 0.7374
4 Br 0.7374 0.2626 0.2626
5 Br 0.2626 0.7374 0.7374
6 K 0.2500 0.2500 0.2500
7 Cu 0.5000 0.5000 0.5000
8 Br 0.2626 0.7374 0.2626
9 Bi 0.0000 0.0000 0.0000
10 Br 0.7374 0.7374 0.2626

Output
* DFT total energy: -23.803 eV/atom
* volume: 315.6 Å³/cell
* E_form (uncorrected): -1046 kJ/mol of formula units


Record 11
DFT (SCAN) results for a crystal of Rb2NaScF6 relaxed with PBEsol.

Unit cell a=6.0570 b=6.0570 c=6.0570 alpha=60.00 beta=60.00 gamma=60.00
Element x y z (fractional)
1 F 0.7648 0.2352 0.2352
2 F 0.2352 0.7648 0.7648
3 F 0.7648 0.7648 0.2352
4 Sc 0.0000 0.0000 0.0000
5 Rb 0.2500 0.2500 0.2500
6 Na 0.5000 0.5000 0.5000
7 F 0.2352 0.7648 0.2352
8 F 0.7648 0.2352 0.7648
9 F 0.2352 0.2352 0.7648
10 Rb 0.7500 0.7500 0.7500

Output
* DFT total energy: -11.672 eV/atom
* volume: 157.1 Å³/cell
* E_form (uncorrected): -3430 kJ/mol of formula units
* D(E_F): 0.0 states/eV/f.u.